This record from Alexandria describes crystalline Na2TeRuPt at its relaxed geometry. The functional is PBE.

The spin magnetization comes out at 2.7 μB/f.u. Its theoretical density is 5.2 g/cm³. The uncorrected formation energy is 874.5 meV per atom.

Geometry as POSCAR:
```
Na2TeRuPt
1.0
-3.299 1.174 -4.236
-0.877 -4.865 -0.665
-4.288 0.305 3.424
Na Te Pt Ru
2 1 1 1
Direct
0.500 0.000 0.000 Na
0.000 0.000 0.500 Na
0.000 0.000 0.000 Te
0.500 0.500 0.500 Pt
0.000 0.500 0.000 Ru
```



This record from Alexandria describes crystalline NaPt2S3 at its relaxed geometry. The functional is PBE.

The spin magnetization comes out at 0.0 μB/f.u. Its theoretical density is 6.6 g/cm³. The uncorrected formation energy is -613.1 meV per atom.

Geometry as POSCAR:
```
NaPt2S3
1.0
6.204 0.000 3.556
2.083 5.844 3.556
0.067 0.047 7.075
Na S Pt
2 6 4
Direct
0.197 0.197 0.410 Na
0.803 0.803 0.590 Na
0.762 0.762 0.203 S
0.762 0.273 0.203 S
0.238 0.727 0.797 S
0.273 0.762 0.203 S
0.238 0.238 0.797 S
0.727 0.238 0.797 S
0.000 0.000 0.000 Pt
0.500 0.000 0.000 Pt
0.000 0.500 0.000 Pt
0.500 0.500 0.000 Pt
```



This record from Alexandria describes crystalline Na3PtS at its relaxed geometry. The functional is PBE.

The spin magnetization comes out at 1.0 μB/f.u. Its theoretical density is 3.5 g/cm³. The uncorrected formation energy is -115.9 meV per atom. The relative energy among the computed polymorphs comes out at 0.00 eV/f.u.

Geometry as POSCAR:
```
Na3PtS
1.0
-3.739 -3.603 -0.430
2.651 -2.290 -3.856
2.478 -2.986 3.477
S Pt Na
1 1 3
Direct
0.000 0.000 0.000 S
0.500 0.500 0.500 Pt
0.000 0.500 0.000 Na
0.000 0.000 0.500 Na
0.500 0.000 0.000 Na
```



This record from Alexandria describes crystalline NaPtS2 at its relaxed geometry. The functional is PBE.

The spin magnetization comes out at 0.0 μB/f.u. Its theoretical density is 5.1 g/cm³. The uncorrected formation energy is -364.5 meV per atom.

Geometry as POSCAR:
```
NaPtS2
1.0
2.122 0.000 7.820
-1.061 1.838 7.820
-1.061 -1.838 7.820
Pt S Na
1 2 1
Direct
0.500 0.500 0.500 Pt
0.885 0.885 0.885 S
0.115 0.115 0.115 S
0.000 0.000 0.000 Na
```



This record from Alexandria describes crystalline NaPt2S2 at its relaxed geometry. The functional is PBE.

The spin magnetization comes out at 0.0 μB/f.u. Its theoretical density is 8.2 g/cm³. The uncorrected formation energy is -338.4 meV per atom. The relative energy among the computed polymorphs comes out at 0.00 eV/f.u.

Geometry as POSCAR:
```
NaPt2S2
1.0
-1.285 -4.456 -0.350
2.883 -0.548 -3.609
4.072 -3.665 0.812
S Pt Na
2 2 1
Direct
0.750 0.250 0.500 S
0.250 0.750 0.500 S
0.325 0.325 0.349 Pt
0.675 0.675 0.651 Pt
0.000 0.000 0.000 Na
```



This record from Alexandria describes crystalline NaPtS2 at its relaxed geometry. The functional is PBE.

The spin magnetization comes out at 0.0 μB/f.u. Its theoretical density is 4.6 g/cm³. The uncorrected formation energy is -556.9 meV per atom.

Geometry as POSCAR:
```
NaPtS2
1.0
4.491 0.000 -1.882
0.000 6.968 0.000
0.089 0.000 6.512
S Na Pt
4 2 2
Direct
0.126 0.003 0.252 S
0.126 0.497 0.252 S
0.874 0.503 0.748 S
0.874 0.997 0.748 S
0.328 0.250 0.656 Na
0.672 0.750 0.344 Na
0.001 0.750 0.002 Pt
0.999 0.250 0.998 Pt
```



This record from Alexandria describes crystalline NaPtS2 at its relaxed geometry. The functional is PBE.

The spin magnetization comes out at 0.0 μB/f.u. Its theoretical density is 6.1 g/cm³. The uncorrected formation energy is -516.0 meV per atom.

Geometry as POSCAR:
```
NaPtS2
1.0
3.702 0.000 0.000
1.851 3.206 0.000
1.851 1.069 6.527
Na S Pt
1 2 1
Direct
0.500 0.500 0.501 Na
0.271 0.271 0.188 S
0.063 0.063 0.811 S
0.667 0.667 0.000 Pt
```



This record from Alexandria describes crystalline NaPt3S at its relaxed geometry. The functional is PBE.

The spin magnetization comes out at 0.0 μB/f.u. Its theoretical density is 11.2 g/cm³. The uncorrected formation energy is 43.4 meV per atom. The relative energy among the computed polymorphs comes out at 0.00 eV/f.u.

Geometry as POSCAR:
```
NaPt3S
1.0
4.564 0.000 0.000
0.000 4.564 0.000
0.000 0.000 4.564
Na Pt S
1 3 1
Direct
0.500 0.500 0.500 Na
0.000 0.500 0.000 Pt
0.000 0.000 0.500 Pt
0.500 0.000 0.000 Pt
0.000 0.000 0.000 S
```



This record from Alexandria describes crystalline NaPt2S2 at its relaxed geometry. The functional is PBE.

The spin magnetization comes out at 0.0 μB/f.u. Its theoretical density is 8.7 g/cm³. The uncorrected formation energy is -103.6 meV per atom. The relative energy among the computed polymorphs comes out at 1.17 eV/f.u.

Geometry as POSCAR:
```
NaPt2S2
1.0
3.948 0.000 0.000
0.000 3.948 0.000
1.974 1.974 5.841
S Na Pt
2 1 2
Direct
0.387 0.387 0.226 S
0.613 0.613 0.774 S
0.000 0.000 0.000 Na
0.250 0.750 0.500 Pt
0.750 0.250 0.500 Pt
```



This record from Alexandria describes crystalline NaPt3S at its relaxed geometry. The functional is PBE.

The spin magnetization comes out at 0.9 μB/f.u. Its theoretical density is 10.5 g/cm³. The uncorrected formation energy is 1788.2 meV per atom. The relative energy among the computed polymorphs comes out at 8.72 eV/f.u.

Geometry as POSCAR:
```
NaPt3S
1.0
4.666 0.000 0.000
0.000 4.666 0.000
0.000 0.000 4.666
Na Pt S
1 3 1
Direct
0.000 0.000 0.000 Na
0.000 0.000 0.500 Pt
0.000 0.500 0.000 Pt
0.500 0.000 0.000 Pt
0.500 0.500 0.500 S
```



This record from Alexandria describes crystalline NaPtS2 at its relaxed geometry. The functional is PBE.

The spin magnetization comes out at 0.0 μB/f.u. Its theoretical density is 4.7 g/cm³. The uncorrected formation energy is -384.9 meV per atom.

Geometry as POSCAR:
```
NaPtS2
1.0
-3.136 -3.775 -3.327
-3.258 -1.465 4.732
-6.837 1.492 -0.531
S Na Pt
4 2 2
Direct
0.054 0.625 0.250 S
0.875 0.946 0.750 S
0.696 0.125 0.250 S
0.375 0.304 0.750 S
0.250 0.750 0.500 Na
0.500 0.500 0.000 Na
0.750 0.250 0.500 Pt
0.000 0.000 0.000 Pt
```



This record from Alexandria describes crystalline NaPtS2 at its relaxed geometry. The functional is PBE.

The spin magnetization comes out at 1.1 μB/f.u. Its theoretical density is 7.1 g/cm³. The uncorrected formation energy is 63.4 meV per atom.

Geometry as POSCAR:
```
NaPtS2
1.0
-1.479 -3.395 2.624
-4.063 0.284 2.003
-3.414 -2.637 -1.410
S Na Pt
2 1 1
Direct
0.250 0.250 0.250 S
0.750 0.750 0.750 S
0.000 0.000 0.000 Na
0.500 0.500 0.500 Pt
```



This record from Alexandria describes crystalline NaPtS3 at its relaxed geometry. The functional is PBE.

The spin magnetization comes out at 0.0 μB/f.u. Its theoretical density is 4.9 g/cm³. The uncorrected formation energy is 1409.2 meV per atom. The relative energy among the computed polymorphs comes out at 6.65 eV/f.u.

Geometry as POSCAR:
```
NaPtS3
1.0
-3.203 -3.445 0.548
1.941 -2.378 -3.606
2.898 -2.214 3.021
Pt S Na
1 3 1
Direct
0.500 0.500 0.500 Pt
0.000 0.500 0.000 S
0.500 0.000 0.000 S
0.000 0.000 0.500 S
0.000 0.000 0.000 Na
```



This record from Alexandria describes crystalline NaPt2S at its relaxed geometry. The functional is PBE.

The spin magnetization comes out at 0.0 μB/f.u. Its theoretical density is 7.2 g/cm³. The uncorrected formation energy is -358.2 meV per atom.

Geometry as POSCAR:
```
NaPt2S
1.0
5.289 0.000 0.000
0.000 5.289 0.000
2.645 2.645 7.331
Na Pt S
2 4 2
Direct
0.500 0.500 0.000 Na
0.250 0.750 0.500 Na
0.854 0.125 0.250 Pt
0.896 0.625 0.250 Pt
0.875 0.104 0.750 Pt
0.375 0.146 0.750 Pt
0.750 0.250 0.500 S
0.000 0.000 0.000 S
```



This record from Alexandria describes crystalline NaPtS2 at its relaxed geometry. The functional is PBE.

The spin magnetization comes out at 0.0 μB/f.u. Its theoretical density is 6.3 g/cm³. The uncorrected formation energy is -23.6 meV per atom.

Geometry as POSCAR:
```
NaPtS2
1.0
0.907 -3.123 8.134
0.554 -5.815 6.528
3.397 -4.461 6.731
Pt S Na
1 2 1
Direct
0.000 0.000 0.000 Pt
0.087 0.087 0.087 S
0.913 0.913 0.913 S
0.500 0.500 0.500 Na
```



This record from Alexandria describes crystalline NaPtS3 at its relaxed geometry. The functional is PBE.

The spin magnetization comes out at 2.1 μB/f.u. Its theoretical density is 4.7 g/cm³. The uncorrected formation energy is 79.1 meV per atom. The relative energy among the computed polymorphs comes out at 0.00 eV/f.u.

Geometry as POSCAR:
```
NaPtS3
1.0
4.810 0.000 0.000
0.000 4.810 0.000
0.000 0.000 4.810
Na S Pt
1 3 1
Direct
0.500 0.500 0.500 Na
0.000 0.000 0.500 S
0.000 0.500 0.000 S
0.500 0.000 0.000 S
0.000 0.000 0.000 Pt
```



This record from Alexandria describes crystalline Na2SnPtS at its relaxed geometry. The functional is PBE.

The spin magnetization comes out at 0.0 μB/f.u. Its theoretical density is 4.7 g/cm³. The uncorrected formation energy is -137.5 meV per atom.

Geometry as POSCAR:
```
Na2SnPtS
1.0
5.241 0.000 0.000
0.000 5.044 0.000
0.000 0.000 5.241
Pt Na Sn S
1 2 1 1
Direct
0.000 0.000 0.000 Pt
0.500 0.000 0.000 Na
0.000 0.000 0.500 Na
0.000 0.500 0.000 Sn
0.500 0.500 0.500 S
```



This record from Alexandria describes crystalline NaSrPtS2 at its relaxed geometry. The functional is PBE.

The spin magnetization comes out at 1.2 μB/f.u. Its theoretical density is 3.7 g/cm³. The uncorrected formation energy is 633.0 meV per atom.

Geometry as POSCAR:
```
NaSrPtS2
1.0
-5.038 1.631 -1.053
0.493 -1.927 -5.342
-1.885 -4.813 1.562
S Sr Na Pt
2 1 1 1
Direct
0.500 0.000 0.000 S
0.000 0.000 0.500 S
0.000 0.000 0.000 Sr
0.000 0.500 0.000 Na
0.500 0.500 0.500 Pt
```



This record from Alexandria describes crystalline NaTcPtS2 at its relaxed geometry. The functional is PBE.

The spin magnetization comes out at 3.5 μB/f.u. Its theoretical density is 6.0 g/cm³. The uncorrected formation energy is 1499.0 meV per atom.

Geometry as POSCAR:
```
NaTcPtS2
1.0
4.725 0.000 0.000
0.000 4.731 0.000
0.000 0.000 4.725
Pt Na Tc S
1 1 1 2
Direct
0.000 0.500 0.000 Pt
0.000 0.000 0.000 Na
0.500 0.500 0.500 Tc
0.000 0.000 0.500 S
0.500 0.000 0.000 S
```



This record from Alexandria describes crystalline Na4U3PtS8 at its relaxed geometry. The functional is PBE.

The spin magnetization comes out at 7.7 μB/f.u. Its theoretical density is 5.8 g/cm³. The uncorrected formation energy is -1172.8 meV per atom.

Geometry as POSCAR:
```
Na4U3PtS8
1.0
7.493 0.000 0.000
0.000 8.127 0.219
-3.747 -3.900 5.795
S Na Pt U
8 4 1 3
Direct
0.277 0.760 0.553 S
0.723 0.240 0.447 S
0.240 0.293 0.027 S
0.265 0.269 0.531 S
0.735 0.731 0.469 S
0.760 0.707 0.973 S
0.213 0.707 0.973 S
0.787 0.293 0.027 S
0.500 0.000 0.500 Na
0.000 0.000 0.000 Na
0.500 0.000 0.000 Na
0.000 0.000 0.500 Na
0.000 0.500 0.000 Pt
0.500 0.500 0.000 U
0.500 0.500 0.500 U
0.000 0.500 0.500 U
```